1.
4
Lattice="3.585 0.000 0.000 0.000 5.584 0.000 0.000 0.000 6.199" Properties=species:S:1:pos:R:3 comment="PBE NdLu3, optimized geometry" e_above_lowest_polymorph_mev_per_atom=10 pbc="T T T"
Nd 0.000 2.792 2.073
Lu 1.793 2.792 5.157
Lu 1.793 0.000 3.116
Lu 0.000 0.000 6.184

***

2.
4
Lattice="-1.472 1.245 -2.965 0.609 -3.094 -1.602 -9.004 -3.358 3.061" Properties=species:S:1:pos:R:3 comment="PBE Ca2NdAl, optimized geometry" e_above_lowest_polymorph_mev_per_atom=38 pbc="T T T"
Nd -4.933 -2.603 -0.753
Ca -1.841 -0.687 0.626
Ca -7.162 -2.671 2.435
Al -0.432 -0.924 -2.283

***

3.
5
Lattice="5.852 0.000 0.000 0.000 5.813 0.000 0.000 0.000 5.852" Properties=species:S:1:pos:R:3 comment="PBE Na2LiCaMo, optimized geometry" energy_ev_per_cell=-11.9 pbc="T T T"
Li 2.926 2.907 2.926
Na 0.000 0.000 2.926
Na 2.926 0.000 0.000
Mo 0.000 0.000 0.000
Ca 0.000 2.907 0.000

***

Q: Which mass density values were calculated for the entries above? A: 8.95, 3.31, 1.58, in g/cm³.